(1)
# AcLa6PmPr2

A relaxed structure of AcLa6PmPr2 (PBE-GGA, Alexandria via LeMat-Bulk).

- energy of formation from the pure elements (eV/atom) = 0.106
- DOS at the Fermi energy (states/eV/cell) = 26.73
- SG = C2/c (15)
- crystal system = monoclinic
- total magnetization (μB/atom) = 0.0000

a b c (Å): 9.3078 9.3078 9.4978
angles (deg): 90.80 90.80 114.98
With the nearest neighbours (Å) after each atom.
Fractional coordinates of all 20 atoms:
1 Ac 0.0674 0.9326 0.7500  6 La 3.54-3.85, 4 Pr 3.63-3.88
2 Ac 0.9326 0.0674 0.2500  6 La 3.54-3.85, 4 Pr 3.63-3.88
3 La 0.0294 0.4726 0.3221  3 La 3.44-3.50, 1 Pm 3.47, 1 Ac 3.54, 2 Pr 3.56-3.78
4 La 0.0763 0.7708 0.0898  4 La 3.37-3.63, 1 Ac 3.59, 1 Pr 3.72
5 La 0.2292 0.9237 0.4102  4 La 3.37-3.63, 1 Ac 3.59, 1 Pr 3.72
6 La 0.2791 0.5695 0.9035  4 La 3.32-3.63, 1 Pm 3.53, 1 Pr 3.56
7 La 0.4305 0.7209 0.5965  4 La 3.32-3.63, 1 Pm 3.53, 1 Pr 3.56
8 La 0.4726 0.0294 0.8221  3 La 3.44-3.50, 1 Pm 3.47, 1 Ac 3.54, 2 Pr 3.56-3.78
9 La 0.5274 0.9706 0.1779  3 La 3.44-3.50, 1 Pm 3.47, 1 Ac 3.54, 2 Pr 3.56-3.78
10 La 0.5695 0.2791 0.4035  4 La 3.32-3.63, 1 Pm 3.53, 1 Pr 3.56
11 La 0.7209 0.4305 0.0965  4 La 3.32-3.63, 1 Pm 3.53, 1 Pr 3.56
12 La 0.7708 0.0763 0.5898  4 La 3.37-3.63, 1 Ac 3.59, 1 Pr 3.72
13 La 0.9237 0.2292 0.9102  4 La 3.37-3.63, 1 Ac 3.59, 1 Pr 3.72
14 La 0.9706 0.5274 0.6779  3 La 3.44-3.50, 1 Pm 3.47, 1 Ac 3.54, 2 Pr 3.56-3.78
15 Pm 0.4251 0.5749 0.2500  6 La 3.47-3.83, 2 Pr 3.55
16 Pm 0.5749 0.4251 0.7500  6 La 3.47-3.83, 2 Pr 3.55
17 Pr 0.2074 0.3032 0.5634  2 Pm 3.55-3.93, 7 La 3.56-3.92, 2 Ac 3.63-3.88
18 Pr 0.3032 0.2074 0.0634  2 Pm 3.55-3.93, 7 La 3.56-3.92, 2 Ac 3.63-3.88
19 Pr 0.6968 0.7926 0.9366  2 Pm 3.55-3.93, 7 La 3.56-3.92, 2 Ac 3.63-3.88
20 Pr 0.7926 0.6968 0.4366  2 Pm 3.55-3.93, 7 La 3.56-3.92, 2 Ac 3.63-3.88

(2)
# Ac2LaPmPt4

A relaxed structure of Ac2LaPmPt4 (PBE-GGA, Alexandria via LeMat-Bulk).

- energy of formation from the pure elements (eV/atom) = -1.145
- DOS at the Fermi energy (states/eV/cell) = 4.24
- SG = P2/m (10)
- crystal system = monoclinic
- total magnetization (μB/atom) = 0.0000

a b c (Å): 7.4398 4.2923 7.4799
angles (deg): 90.00 109.58 90.00
With the nearest neighbours (Å) after each atom.
Fractional coordinates of all 8 atoms:
1 Ac 0.0000 0.0000 0.0000  6 Pt 3.08
2 Ac 0.0000 0.5000 0.5000  6 Pt 3.09-3.10
3 La 0.5000 0.0000 0.5000  6 Pt 3.00-3.01
4 Pm 0.5000 0.5000 0.0000  6 Pt 2.99-3.00
5 Pt 0.2603 0.5000 0.2516  1 Pm 3.00, 2 La 3.00, 3 Ac 3.08-3.10
6 Pt 0.2618 0.0000 0.7559  2 Pm 2.99, 1 La 3.01, 3 Ac 3.08-3.09
7 Pt 0.7382 0.0000 0.2441  2 Pm 2.99, 1 La 3.01, 3 Ac 3.08-3.09
8 Pt 0.7397 0.5000 0.7484  1 Pm 3.00, 2 La 3.00, 3 Ac 3.08-3.10

(3)
# AcLa2PmPt4

A relaxed structure of AcLa2PmPt4 (PBE-GGA, Alexandria via LeMat-Bulk).

- energy of formation from the pure elements (eV/atom) = -1.137
- DOS at the Fermi energy (states/eV/cell) = 4.19
- SG = Fmm2 (42)
- crystal system = orthorhombic
- total magnetization (μB/atom) = 0.0000

a b c (Å): 7.3888 6.0408 7.3886
angles (deg): 65.87 48.26 65.87
With the nearest neighbours (Å) after each atom.
Fractional coordinates of all 8 atoms:
1 Ac 0.0000 0.0000 0.0000  6 Pt 3.02-3.09
2 La 0.2503 0.2503 0.2497  6 Pt 3.01-3.02
3 La 0.7503 0.7503 0.7497  6 Pt 3.01-3.02
4 Pm 0.4993 0.4993 0.5007  6 Pt 2.94-3.02
5 Pt 0.2565 0.7439 0.2561  1 Pm 2.94, 4 La 3.02, 1 Ac 3.09
6 Pt 0.4999 0.9994 0.5001  2 La 3.01, 2 Pm 3.02, 2 Ac 3.02
7 Pt 0.7439 0.2565 0.7435  1 Pm 2.94, 4 La 3.02, 1 Ac 3.09
8 Pt 0.9994 0.4999 0.0006  2 La 3.01, 2 Pm 3.02, 2 Ac 3.02